A plane-wave DFT calculation with PBE with a Hubbard U was carried out for crystalline VInPO2 at its relaxed geometry.

Output
symmetry: P4/mmm (123)
E: -24.95 eV per formula unit
N(E_F): 4.59 states/eV/f.u.

Lattice parameters (Å, degrees): 4.030 4.030 5.576 90.00 90.00 90.00
Last column: magnetic moment on the atom in μB.
Element x y z (fractional)
P  0.000  0.000  0.500  -0.43
V  0.500  0.500  0.500  2.68
O  0.000  0.500  0.000  -0.38
O  0.500  0.000  0.000  -0.38
In  0.000  0.000  0.000  -0.02